CaCu7Au12 | PBE | optimized geometry

Lattice parameters (Å, degrees): 8.130 8.130 8.130 109.47 109.47 109.47
Positions (direct):
Ca (0.000, 0.000, 0.000)
Cu (0.500, 0.000, 0.500)
Cu (0.500, 0.500, 0.000)
Cu (0.000, 0.500, 0.500)
Cu (0.000, 0.000, 0.500)
Cu (0.500, 0.000, 0.000)
Cu (0.500, 0.500, 0.500)
Cu (0.000, 0.500, 0.000)
Au (0.279, 0.156, 0.435)
Au (0.279, 0.844, 0.122)
Au (0.721, 0.844, 0.565)
Au (0.721, 0.156, 0.878)
Au (0.435, 0.279, 0.156)
Au (0.878, 0.721, 0.156)
Au (0.565, 0.721, 0.844)
Au (0.122, 0.279, 0.844)
Au (0.844, 0.122, 0.279)
Au (0.156, 0.878, 0.721)
Au (0.156, 0.435, 0.279)
Au (0.844, 0.565, 0.721)

Results
N(E_F) in states/eV/f.u.: 6.62
Energy of formation in eV per formula unit: 4.73
Total magnetization in μB/f.u.: 0.00